# 1
KZr2HgP | Alexandria | GGA-PBE | optimized geometry; magnetic moment = 0.00 μB/f.u.; energy of formation = 1.105 eV/atom
1.0
5.318 0.000 0.000
0.000 5.318 0.000
0.000 0.000 5.675
K Zr Hg P
1 2 1 1
Cartesian
0.000 0.000 0.000
0.000 2.659 2.838
2.659 0.000 2.838
0.000 0.000 2.838
2.659 2.659 0.000

# 2
KPaHgS4 | Alexandria | GGA-PBE | optimized geometry; magnetic moment = 0.00 μB/f.u.
1.0
-3.809 4.088 6.844
3.809 -4.088 6.844
3.809 4.088 -6.844
K Pa Hg S
2 2 2 8
Cartesian
0.000 2.044 2.228
3.809 2.044 4.616
3.809 0.000 0.000
0.000 0.000 6.844
1.904 2.044 -3.422
1.904 -2.044 3.422
3.809 -0.297 2.686
2.134 2.044 0.069
5.483 2.044 0.069
3.809 3.791 -2.686
0.000 0.297 9.530
-1.675 2.044 6.775
1.675 2.044 6.775
0.000 4.385 4.157

# 3
K2PaHgS4 | Alexandria | GGA-PBE | optimized geometry; magnetic moment = 1.03 μB/f.u.
1.0
-3.701 3.701 4.754
3.701 -3.701 4.754
3.701 3.701 -4.754
K Pa Hg S
2 1 1 4
Cartesian
0.000 0.000 0.000
0.000 3.701 2.377
0.000 0.000 4.754
3.701 0.000 2.377
1.792 -1.396 3.513
2.306 1.910 1.241
1.910 5.097 -1.241
1.396 1.792 5.995

# 4
K3Pa3HgSe8 | Alexandria | GGA-PBE | optimized geometry; magnetic moment = 3.14 μB/f.u.
1.0
4.269 2.464 7.645
-4.269 2.464 7.645
0.000 -4.929 7.645
K Pa Hg Se
3 3 1 8
Cartesian
-2.134 -1.232 7.645
-2.134 1.232 15.289
0.000 2.464 7.645
-4.269 0.000 11.467
-2.134 1.232 3.822
2.134 1.232 3.822
0.000 0.000 11.467
-2.305 -1.331 13.035
0.000 0.000 5.424
0.000 -2.661 9.898
-2.305 1.331 9.898
2.305 -1.331 13.035
0.000 2.661 13.035
0.000 0.000 17.510
2.305 1.331 9.898

# 5
K4Pa3HgTe8 | Alexandria | GGA-PBE | optimized geometry; magnetic moment = 3.36 μB/f.u.
1.0
4.639 2.678 8.063
-4.639 2.678 8.063
0.000 -5.357 8.063
K Pa Hg Te
4 3 1 8
Cartesian
0.000 0.000 0.000
-2.320 -1.339 8.063
-2.320 1.339 16.125
0.000 2.678 8.063
-4.639 0.000 12.094
-2.320 1.339 4.031
2.320 1.339 4.031
0.000 0.000 12.094
-2.452 -1.416 13.744
0.000 0.000 5.747
0.000 -2.831 10.444
-2.452 1.416 10.444
2.452 -1.416 13.744
0.000 2.831 13.744
0.000 0.000 18.441
2.452 1.416 10.444

# 6
K2HgPb2 | Alexandria | GGA-PBE | optimized geometry; magnetic moment = 0.00 μB/f.u.; ΔE to the lowest computed polymorph = 362.4 meV/atom; energy of formation = 0.213 eV/atom
1.0
-2.452 2.452 7.963
2.452 -2.452 7.963
2.452 2.452 -7.963
K Hg Pb
2 1 2
Cartesian
2.452 0.000 3.981
0.000 2.452 3.981
0.000 0.000 0.000
0.000 0.000 6.547
0.000 0.000 9.379

# 7
KHgPb3 | Alexandria | GGA-PBE | optimized geometry; magnetic moment = 0.00 μB/f.u.; ΔE to the lowest computed polymorph = 290.9 meV/atom; energy of formation = 0.179 eV/atom
1.0
5.883 0.000 0.000
0.000 5.883 0.000
0.000 0.000 5.883
K Hg Pb
1 1 3
Cartesian
0.000 0.000 0.000
2.941 2.941 2.941
0.000 2.941 2.941
2.941 0.000 2.941
2.941 2.941 0.000

# 8
K6Hg2Pb | Alexandria | GGA-PBE | optimized geometry; magnetic moment = 0.00 μB/f.u.; energy of formation = -0.140 eV/atom
1.0
-5.549 5.735 6.601
5.549 -5.735 6.601
5.549 5.735 -6.601
K Hg Pb
12 4 2
Cartesian
5.549 3.728 -3.324
3.490 0.000 1.975
7.608 0.000 1.975
2.298 3.602 0.000
3.251 -2.133 6.601
0.000 2.007 3.277
5.549 3.728 3.324
2.298 7.868 0.000
3.251 2.133 6.601
-2.059 5.735 4.626
2.059 5.735 4.626
0.000 2.007 9.925
5.549 2.485 0.000
5.549 0.000 4.983
0.000 5.735 1.618
0.000 3.250 6.601
0.000 0.000 0.000
0.000 0.000 6.601

# 9
KHgPb | Alexandria | GGA-PBE | optimized geometry; magnetic moment = 0.00 μB/f.u.; ΔE to the lowest computed polymorph = 21.0 meV/atom; energy of formation = -0.172 eV/atom
1.0
5.313 0.000 0.000
-2.657 4.602 0.000
0.000 0.000 4.060
K Hg Pb
1 1 1
Cartesian
0.000 0.000 0.000
0.000 3.068 2.030
2.657 1.534 2.030

# 10
K4HgPb | Alexandria | GGA-PBE | optimized geometry; magnetic moment = 0.00 μB/f.u.; ΔE to the lowest computed polymorph = 0.0 meV/atom; energy of formation = -0.115 eV/atom
1.0
5.333 -8.237 0.000
5.333 8.237 0.000
-2.234 0.000 6.193
K Hg Pb
8 2 2
Cartesian
1.916 5.190 5.686
1.896 1.191 4.088
5.400 5.190 3.604
3.013 -1.191 0.992
5.419 1.191 5.201
3.032 -5.190 2.589
6.536 -1.191 2.105
6.516 -5.190 0.507
4.774 8.211 1.548
3.658 -8.211 4.645
4.774 2.160 1.548
3.658 -2.160 4.645

# 11
KHg2Pb | Alexandria | GGA-PBE | optimized geometry; magnetic moment = 0.00 μB/f.u.; energy of formation = -0.198 eV/atom
1.0
8.747 0.000 0.000
0.000 5.154 0.000
0.000 0.000 11.381
K Hg Pb
4 8 4
Cartesian
1.605 1.288 2.114
2.769 3.865 7.804
5.978 1.288 3.576
7.142 3.865 9.266
0.951 1.288 9.594
1.535 3.865 11.108
2.838 1.288 5.418
3.422 3.865 3.904
5.324 1.288 7.477
5.909 3.865 5.963
7.212 1.288 0.272
7.796 3.865 1.786
0.151 3.865 4.758
4.223 1.288 10.448
4.524 3.865 0.932
8.596 1.288 6.622

# 12
K2Hg2Pb15 | Alexandria | GGA-PBE | optimized geometry; magnetic moment = 0.00 μB/f.u.; energy of formation = -0.008 eV/atom
1.0
5.721 3.303 5.718
-5.721 3.303 5.718
0.000 -6.607 5.718
K Hg Pb
2 2 15
Cartesian
0.000 0.000 2.937
0.000 0.000 14.217
0.000 0.000 7.035
0.000 0.000 10.119
-2.861 -1.652 5.718
0.000 -3.335 5.541
-2.888 1.668 5.541
-1.755 -3.040 8.577
-3.511 0.000 8.577
-2.888 -1.668 11.613
-2.861 1.652 11.436
1.755 -3.040 8.577
0.000 3.303 5.718
-1.755 3.040 8.577
2.888 1.668 5.541
3.511 0.000 8.577
1.755 3.040 8.577
2.888 -1.668 11.613
0.000 3.335 11.613

# 13
K4Hg2Pb | Alexandria | GGA-PBE | optimized geometry; magnetic moment = 0.00 μB/f.u.; ΔE to the lowest computed polymorph = 0.0 meV/atom; energy of formation = -0.167 eV/atom
1.0
7.527 0.000 0.000
-3.523 7.556 0.000
-3.372 -2.053 10.380
K Hg Pb
8 4 2
Cartesian
-0.009 1.475 1.453
-3.042 4.229 6.772
-1.602 5.210 3.031
-1.465 0.386 8.266
2.096 5.116 2.114
2.234 0.292 7.349
3.674 1.273 3.607
0.640 4.028 8.927
-3.820 2.514 9.986
3.763 0.000 0.000
0.316 2.751 5.190
4.451 2.988 0.393
-0.525 -0.087 4.687
1.156 5.589 5.693

# 14
KHg9Pb2 | Alexandria | GGA-PBE | optimized geometry; magnetic moment = 0.00 μB/f.u.; energy of formation = -0.045 eV/atom
1.0
6.563 0.000 0.000
-1.397 6.459 0.000
-2.986 -1.629 8.169
K Hg Pb
1 9 2
Cartesian
0.000 0.000 0.000
-0.728 -0.156 5.624
-2.083 1.761 7.929
-0.299 4.815 2.906
1.867 1.808 2.454
3.282 0.000 0.000
0.312 3.022 5.714
2.479 0.015 5.263
4.263 3.069 0.239
2.908 4.986 2.544
-1.303 1.596 3.059
3.483 3.234 5.110

# 15
KHg3Pb | Alexandria | GGA-PBE | optimized geometry; magnetic moment = 0.00 μB/f.u.; ΔE to the lowest computed polymorph = 156.0 meV/atom; energy of formation = -0.011 eV/atom
1.0
5.968 0.000 0.000
0.000 5.968 0.000
0.000 0.000 5.968
K Hg Pb
1 3 1
Cartesian
0.000 0.000 0.000
0.000 2.984 2.984
2.984 0.000 2.984
2.984 2.984 0.000
2.984 2.984 2.984

# 16
KHg12Pb6 | Alexandria | GGA-PBE | optimized geometry; magnetic moment = 0.00 μB/f.u.; energy of formation = -0.020 eV/atom
1.0
7.417 4.282 2.855
-7.417 4.282 2.855
0.000 -8.565 2.855
K Hg Pb
1 12 6
Cartesian
0.000 0.000 0.000
-0.585 -5.040 2.962
-4.072 3.027 2.962
-0.788 -1.834 2.926
-4.657 -2.013 5.602
-1.194 1.600 2.926
1.982 0.234 2.926
-1.982 -0.234 5.638
1.194 -1.600 5.638
4.657 2.013 2.962
0.788 1.834 5.638
4.072 -3.027 5.602
0.585 5.040 5.602
-3.751 -0.427 2.587
2.245 -3.035 2.587
-1.506 -3.462 5.977
1.506 3.462 2.587
-2.245 3.035 5.977
3.751 0.427 5.977

# 17
K2Hg6Pb3 | Alexandria | GGA-PBE | optimized geometry; magnetic moment = 0.00 μB/f.u.; energy of formation = -0.086 eV/atom
1.0
6.128 -6.770 0.000
6.128 6.770 0.000
0.000 0.000 4.593
K Hg Pb
2 6 3
Cartesian
6.128 3.988 0.000
6.128 -3.988 0.000
1.443 0.000 2.296
3.840 2.200 2.296
3.840 -2.200 2.296
8.417 2.200 2.296
8.417 -2.200 2.296
10.814 0.000 2.296
3.693 0.000 0.000
6.128 0.000 2.296
8.563 0.000 0.000

# 18
K3HgPb | Alexandria | GGA-PBE | optimized geometry; magnetic moment = 1.00 μB/f.u.; ΔE to the lowest computed polymorph = 199.7 meV/atom; energy of formation = 0.041 eV/atom
1.0
6.870 0.000 0.000
0.000 6.870 0.000
0.000 0.000 6.870
K Hg Pb
3 1 1
Cartesian
0.000 0.000 3.435
0.000 3.435 0.000
3.435 0.000 0.000
3.435 3.435 3.435
0.000 0.000 0.000

# 19
KHg2Pb5 | Alexandria | GGA-PBE | optimized geometry; magnetic moment = 0.00 μB/f.u.; energy of formation = -0.038 eV/atom
1.0
-1.776 5.470 6.439
1.776 -5.470 6.439
1.776 5.470 -6.439
K Hg Pb
1 2 5
Cartesian
0.000 0.000 0.000
1.776 0.000 3.012
0.000 5.470 3.427
1.776 3.033 -1.749
1.776 3.033 1.749
0.000 5.470 0.000
0.000 2.436 4.690
0.000 2.436 8.188

# 20
KHgPb | Alexandria | GGA-PBE | optimized geometry; magnetic moment = 0.00 μB/f.u.; ΔE to the lowest computed polymorph = 192.0 meV/atom; energy of formation = -0.001 eV/atom
1.0
3.791 0.000 0.000
-1.896 3.284 0.000
0.000 0.000 8.188
K Hg Pb
1 1 1
Cartesian
0.000 0.000 0.000
0.000 2.189 5.509
1.896 1.095 3.075

Number 1: uncorrected energy -18.4 eV per formula unit. Number 2: uncorrected energy -34.8 eV per formula unit. Number 3: uncorrected energy -36.4 eV per formula unit. Number 4: uncorrected energy -77.8 eV per formula unit. Number 5: uncorrected energy -72.0 eV per formula unit. Number 6: uncorrected energy -8.8 eV per formula unit. Number 7: uncorrected energy -11.6 eV per formula unit. Number 8: uncorrected energy -12.2 eV per formula unit. Number 9: uncorrected energy -5.6 eV per formula unit. Number 10: uncorrected energy -9.1 eV per formula unit. Number 11: uncorrected energy -6.2 eV per formula unit. Number 12: uncorrected energy -58.6 eV per formula unit. Number 13: uncorrected energy -9.9 eV per formula unit. Number 14: uncorrected energy -11.8 eV per formula unit. Number 15: uncorrected energy -5.8 eV per formula unit. Number 16: uncorrected energy -27.3 eV per formula unit. Number 17: uncorrected energy -16.1 eV per formula unit. Number 18: uncorrected energy -7.1 eV per formula unit. Number 19: uncorrected energy -20.5 eV per formula unit. Number 20: uncorrected energy -5.1 eV per formula unit.